Below is DyHg3 at its PBEsol-relaxed geometry, with properties calculated at the SCAN level.

The volume is 22.4 A^3/atom. The total energy comes out at -63.56 eV per atom. The energy of formation from the pure elements is -484 meV/atom.

The space group is P6_3/mmc (No. 194) and the conventional cell measures 6.5120, 6.5120 and 4.8703 Å, with angles of 90.00, 90.00 and 120.00 degrees. Symmetry generates all atoms from Dy at (0.3333, 0.6667, 0.2500) and Hg at (0.1657, 0.3313, 0.7500).

Below is BeTc2Os at its PBEsol-relaxed geometry, with properties calculated at the SCAN level.

The volume is 12.5 A^3/atom. The total energy comes out at -36.71 eV per atom. The energy of formation from the pure elements is -124 meV/atom.

The space group is Immm (No. 71) and the conventional cell measures 2.9501, 4.0752 and 8.3407 Å, with angles of 90.00, 90.00 and 90.00 degrees. Symmetry generates all atoms from Be at (0.0000, 0.0000, 0.0000), Tc at (0.0000, 0.5000, 0.2628) and Os at (0.0000, 0.0000, 0.5000).